# 1
# TaCo2Ru | Alexandria via LeMat-Bulk | GGA-PBE | relaxed
data_TaCo2Ru
_chemical_formula_sum 'Ta1 Co2 Ru1'
_symmetry_space_group_name_H-M 'P 1'
_symmetry_Int_Tables_number 1
_cell_length_a 2.679
_cell_length_b 2.679
_cell_length_c 7.355
_cell_angle_alpha 90.00
_cell_angle_beta 90.00
_cell_angle_gamma 90.00
loop_
_symmetry_equiv_pos_as_xyz
'x,y,z'
loop_
_atom_site_label
_atom_site_fract_x
_atom_site_fract_y
_atom_site_fract_z
Ta1 0.500 0.500 0.750
Co1 0.000 0.000 0.484
Co2 0.000 0.000 0.016
Ru1 0.500 0.500 0.250
# VASP energy: -8.766 eV/atom
# DFT formation energy: 0.069 eV/atom
# Fermi-level density of states: 1.1512 states/eV per atom
# Space group: P4/mmm, No. 123



# 2
# LiYbTl2 | Alexandria via LeMat-Bulk | GGA-PBE | relaxed
data_LiYbTl2
_chemical_formula_sum 'Li1 Yb1 Tl2'
_symmetry_space_group_name_H-M 'P 1'
_symmetry_Int_Tables_number 1
_cell_length_a 5.201
_cell_length_b 5.201
_cell_length_c 5.201
_cell_angle_alpha 60.00
_cell_angle_beta 60.00
_cell_angle_gamma 60.00
loop_
_symmetry_equiv_pos_as_xyz
'x,y,z'
loop_
_atom_site_label
_atom_site_fract_x
_atom_site_fract_y
_atom_site_fract_z
Yb1 0.750 0.750 0.750
Li1 0.250 0.250 0.250
Tl1 0.500 0.500 0.500
Tl2 0.000 0.000 0.000
# VASP energy: -2.396 eV/atom
# DFT formation energy: -0.352 eV/atom
# Fermi-level density of states: 0.6126 states/eV per atom
# Space group: Fm-3m, No. 225



# 3
# Ca2LaBe | Alexandria via LeMat-Bulk | GGA-PBE | relaxed
data_Ca2LaBe
_chemical_formula_sum 'Ca2 La1 Be1'
_symmetry_space_group_name_H-M 'P 1'
_symmetry_Int_Tables_number 1
_cell_length_a 3.558
_cell_length_b 3.554
_cell_length_c 10.317
_cell_angle_alpha 69.86
_cell_angle_beta 90.00
_cell_angle_gamma 90.00
loop_
_symmetry_equiv_pos_as_xyz
'x,y,z'
loop_
_atom_site_label
_atom_site_fract_x
_atom_site_fract_y
_atom_site_fract_z
Ca1 0.000 0.429 0.571
Ca2 0.000 0.071 0.929
Be1 0.500 0.750 0.750
La1 0.500 0.250 0.250
# VASP energy: -2.896 eV/atom
# DFT formation energy: 0.268 eV/atom
# Fermi-level density of states: 1.6564 states/eV per atom
# Space group: P4/mmm, No. 123



no.,V (Å³/atom)
1,13.2
2,24.9
3,30.6